A relaxed structure of Ca2GaGeTe. Source: Alexandria via LeMat-Bulk, functional GGA-PBE.

## Properties
The density of states at the Fermi level is 0.9069 states/eV/atom. The calculated volume comes out at 165.11 Å³/cell. As for the formation energy from raw total energies: 0.13 eV/atom. As for the crystal system: tetragonal.

Cell and atoms, written as CIF:
```
data_Ca2GaGeTe
_chemical_formula_sum 'Ca2 Ga1 Ge1 Te1'
_space_group_name_H-M_alt 'P 4/m m m'
_space_group_IT_number 123
_space_group_name_Hall '-P 4 2'
_cell_length_a 5.577
_cell_length_b 5.577
_cell_length_c 5.309
_cell_angle_alpha 90.00
_cell_angle_beta 90.00
_cell_angle_gamma 90.00
loop_
_atom_site_label
_atom_site_type_symbol
_atom_site_fract_x
_atom_site_fract_y
_atom_site_fract_z
_atom_site_occupancy
Ca1 Ca 0.000 0.500 0.000 1
Ga1 Ga 0.000 0.000 0.000 1
Ge1 Ge 0.500 0.500 0.500 1
Te1 Te 0.000 0.000 0.500 1
```

=====

A relaxed structure of CaYGaGe. Source: Alexandria via LeMat-Bulk, functional GGA-PBE.

## Properties
The calculation puts the energy above the most stable polymorph in this dataset at 3.711 kcal/mol of atoms. The density of states at the Fermi level is 0.4987 states/eV/atom. The calculated volume comes out at 377.53 Å³/cell. As for the crystal system: cubic.

Cell and atoms, written as CIF:
```
data_CaYGaGe
_chemical_formula_sum 'Ca4 Y4 Ga4 Ge4'
_space_group_name_H-M_alt 'F -4 3 m'
_space_group_IT_number 216
_space_group_name_Hall 'F -4 2 3'
_cell_length_a 7.227
_cell_length_b 7.227
_cell_length_c 7.227
_cell_angle_alpha 90.00
_cell_angle_beta 90.00
_cell_angle_gamma 90.00
loop_
_atom_site_label
_atom_site_type_symbol
_atom_site_fract_x
_atom_site_fract_y
_atom_site_fract_z
_atom_site_occupancy
Ca1 Ca 0.000 0.000 0.000 1
Y1 Y 0.000 0.000 0.500 1
Ga1 Ga 0.250 0.250 0.750 1
Ge1 Ge 0.250 0.250 0.250 1
```

=====

A relaxed structure of CaYGaGe. Source: Alexandria via LeMat-Bulk, functional GGA-PBE.

## Properties
The calculation puts the energy above the most stable polymorph in this dataset at 0.000 kcal/mol of atoms. The density of states at the Fermi level is 0.6049 states/eV/atom. The calculated volume comes out at 195.08 Å³/cell. As for the crystal system: orthorhombic.

Cell and atoms, written as CIF:
```
data_CaYGaGe
_chemical_formula_sum 'Ca2 Y2 Ga2 Ge2'
_space_group_name_H-M_alt 'A m m 2'
_space_group_IT_number 38
_cell_length_a 4.060
_cell_length_b 4.402
_cell_length_c 10.914
_cell_angle_alpha 90.00
_cell_angle_beta 90.00
_cell_angle_gamma 90.00
loop_
_space_group_symop_operation_xyz
'x,y,z'
'-x,-y,z'
'-x,y,z'
'x,-y,z'
'x,y+1/2,z+1/2'
'-x,-y+1/2,z+1/2'
'-x,y+1/2,z+1/2'
'x,-y+1/2,z+1/2'
loop_
_atom_site_label
_atom_site_type_symbol
_atom_site_fract_x
_atom_site_fract_y
_atom_site_fract_z
_atom_site_occupancy
Ca1 Ca 0.000 0.000 0.000 1
Y1 Y 0.500 0.000 0.278 1
Ga1 Ga 0.500 0.000 0.565 1
Ge1 Ge 0.000 0.000 0.720 1
```

=====

A relaxed structure of Ca2Zn4GaGe3. Source: Alexandria via LeMat-Bulk, functional GGA-PBE.

## Properties
The density of states at the Fermi level is 0.1533 states/eV/atom. The calculated volume comes out at 195.47 Å³/cell. As for the uncorrected energy: -2.95 eV per atom. As for the crystal system: tetragonal.

Cell and atoms, written as CIF:
```
data_Ca2Zn4GaGe3
_chemical_formula_sum 'Ca2 Zn4 Ga1 Ge3'
_space_group_name_H-M_alt 'P -4 m 2'
_space_group_IT_number 115
_cell_length_a 4.243
_cell_length_b 4.243
_cell_length_c 10.859
_cell_angle_alpha 90.00
_cell_angle_beta 90.00
_cell_angle_gamma 90.00
loop_
_space_group_symop_operation_xyz
'x,y,z'
'y,-x,-z'
'-x,-y,z'
'-y,x,-z'
'-x,y,z'
'-y,-x,-z'
'x,-y,z'
'y,x,-z'
loop_
_atom_site_label
_atom_site_type_symbol
_atom_site_fract_x
_atom_site_fract_y
_atom_site_fract_z
_atom_site_occupancy
Ca1 Ca 0.000 0.500 0.249 1
Zn1 Zn 0.000 0.000 0.000 1
Zn2 Zn 0.000 0.500 0.637 1
Zn3 Zn 0.500 0.500 0.000 1
Ga1 Ga 0.000 0.000 0.500 1
Ge1 Ge 0.000 0.500 0.863 1
Ge2 Ge 0.500 0.500 0.500 1
```

=====

A relaxed structure of Ca2Zn4Ga3Ge. Source: Alexandria via LeMat-Bulk, functional GGA-PBE.

## Properties
The density of states at the Fermi level is 0.4550 states/eV/atom. The calculated volume comes out at 196.73 Å³/cell. As for the uncorrected energy: -2.60 eV per atom. As for the crystal system: tetragonal.

Cell and atoms, written as CIF:
```
data_Ca2Zn4Ga3Ge
_chemical_formula_sum 'Ca2 Zn4 Ga3 Ge1'
_space_group_name_H-M_alt 'P -4 m 2'
_space_group_IT_number 115
_cell_length_a 4.266
_cell_length_b 4.266
_cell_length_c 10.812
_cell_angle_alpha 90.00
_cell_angle_beta 90.00
_cell_angle_gamma 90.00
loop_
_space_group_symop_operation_xyz
'x,y,z'
'y,-x,-z'
'-x,-y,z'
'-y,x,-z'
'-x,y,z'
'-y,-x,-z'
'x,-y,z'
'y,x,-z'
loop_
_atom_site_label
_atom_site_type_symbol
_atom_site_fract_x
_atom_site_fract_y
_atom_site_fract_z
_atom_site_occupancy
Ca1 Ca 0.000 0.500 0.249 1
Zn1 Zn 0.000 0.000 0.000 1
Zn2 Zn 0.000 0.500 0.638 1
Zn3 Zn 0.500 0.500 0.000 1
Ga1 Ga 0.000 0.500 0.865 1
Ga2 Ga 0.500 0.500 0.500 1
Ge1 Ge 0.000 0.000 0.500 1
```

=====

A relaxed structure of Ca2Zn3Ga4Ge. Source: Alexandria via LeMat-Bulk, functional GGA-PBE.

## Properties
The density of states at the Fermi level is 0.3273 states/eV/atom. The calculated volume comes out at 198.00 Å³/cell. As for the uncorrected energy: -2.78 eV per atom. As for the crystal system: tetragonal.

Cell and atoms, written as CIF:
```
data_Ca2Zn3Ga4Ge
_chemical_formula_sum 'Ca2 Zn3 Ga4 Ge1'
_space_group_name_H-M_alt 'P -4 m 2'
_space_group_IT_number 115
_cell_length_a 4.225
_cell_length_b 4.225
_cell_length_c 11.092
_cell_angle_alpha 90.00
_cell_angle_beta 90.00
_cell_angle_gamma 90.00
loop_
_space_group_symop_operation_xyz
'x,y,z'
'y,-x,-z'
'-x,-y,z'
'-y,x,-z'
'-x,y,z'
'-y,-x,-z'
'x,-y,z'
'y,x,-z'
loop_
_atom_site_label
_atom_site_type_symbol
_atom_site_fract_x
_atom_site_fract_y
_atom_site_fract_z
_atom_site_occupancy
Ca1 Ca 0.000 0.500 0.249 1
Zn1 Zn 0.000 0.500 0.862 1
Zn2 Zn 0.500 0.500 0.500 1
Ga1 Ga 0.000 0.000 0.000 1
Ga2 Ga 0.000 0.500 0.641 1
Ga3 Ga 0.500 0.500 0.000 1
Ge1 Ge 0.000 0.000 0.500 1
```

=====

A relaxed structure of CaZn2GaGe. Source: Alexandria via LeMat-Bulk, functional GGA-PBE.

## Properties
The density of states at the Fermi level is 0.2107 states/eV/atom. The calculated volume comes out at 194.90 Å³/cell. As for the uncorrected energy: -2.79 eV per atom. As for the crystal system: orthorhombic.

Cell and atoms, written as CIF:
```
data_CaZn2GaGe
_chemical_formula_sum 'Ca2 Zn4 Ga2 Ge2'
_space_group_name_H-M_alt 'I m m 2'
_space_group_IT_number 44
_cell_length_a 4.156
_cell_length_b 4.242
_cell_length_c 11.055
_cell_angle_alpha 90.00
_cell_angle_beta 90.00
_cell_angle_gamma 90.00
loop_
_space_group_symop_operation_xyz
'x,y,z'
'-x,-y,z'
'-x,y,z'
'x,-y,z'
'x+1/2,y+1/2,z+1/2'
'-x+1/2,-y+1/2,z+1/2'
'-x+1/2,y+1/2,z+1/2'
'x+1/2,-y+1/2,z+1/2'
loop_
_atom_site_label
_atom_site_type_symbol
_atom_site_fract_x
_atom_site_fract_y
_atom_site_fract_z
_atom_site_occupancy
Ca1 Ca 0.000 0.000 0.000 1
Zn1 Zn 0.000 0.000 0.616 1
Zn2 Zn 0.000 0.500 0.251 1
Ga1 Ga 0.000 0.500 0.746 1
Ge1 Ge 0.000 0.000 0.393 1
```

=====

A relaxed structure of Ca2GaH. Source: Alexandria via LeMat-Bulk, functional GGA-PBE.

## Properties
The calculation puts the energy above the most stable polymorph in this dataset at 0.000 kcal/mol of atoms. The density of states at the Fermi level is 0.3805 states/eV/atom. The calculated volume comes out at 92.17 Å³/cell. As for the crystal system: monoclinic.

Cell and atoms, written as CIF:
```
data_Ca2GaH
_chemical_formula_sum 'Ca2 Ga1 H1'
_space_group_name_H-M_alt 'P 1 2/m 1'
_space_group_IT_number 10
_cell_length_a 3.789
_cell_length_b 3.362
_cell_length_c 7.237
_cell_angle_alpha 90.00
_cell_angle_beta 90.16
_cell_angle_gamma 90.00
loop_
_space_group_symop_operation_xyz
'x,y,z'
'-x,-y,-z'
'-x,y,-z'
'x,-y,z'
loop_
_atom_site_label
_atom_site_type_symbol
_atom_site_fract_x
_atom_site_fract_y
_atom_site_fract_z
_atom_site_occupancy
Ca1 Ca 0.002 0.000 0.256 1
Ga1 Ga 0.500 0.500 0.000 1
H1 H 0.000 0.500 0.500 1
```

=====

A relaxed structure of Ca3GaH. Source: Alexandria via LeMat-Bulk, functional GGA-PBE.

## Properties
The calculation puts the energy above the most stable polymorph in this dataset at 0.246 kcal/mol of atoms. The density of states at the Fermi level is 0.6261 states/eV/atom. The calculated volume comes out at 261.04 Å³/cell. As for the crystal system: monoclinic.

Cell and atoms, written as CIF:
```
data_Ca3GaH
_chemical_formula_sum 'Ca6 Ga2 H2'
_space_group_name_H-M_alt 'P 1 21/m 1'
_space_group_IT_number 11
_cell_length_a 7.711
_cell_length_b 3.643
_cell_length_c 9.295
_cell_angle_alpha 90.00
_cell_angle_beta 90.78
_cell_angle_gamma 90.00
loop_
_space_group_symop_operation_xyz
'x,y,z'
'-x,-y,-z'
'-x,y+1/2,-z'
'x,-y+1/2,z'
loop_
_atom_site_label
_atom_site_type_symbol
_atom_site_fract_x
_atom_site_fract_y
_atom_site_fract_z
_atom_site_occupancy
Ca1 Ca 0.083 0.250 0.327 1
Ca2 Ca 0.279 0.250 0.975 1
Ca3 Ca 0.349 0.750 0.609 1
Ga1 Ga 0.387 0.750 0.241 1
H1 H 0.114 0.250 0.581 1
```

=====

A relaxed structure of CaGaH2. Source: Alexandria via LeMat-Bulk, functional GGA-PBE.

## Properties
The calculation puts the energy above the most stable polymorph in this dataset at 1.712 kcal/mol of atoms. The density of states at the Fermi level is 0.6699 states/eV/atom. The calculated volume comes out at 210.47 Å³/cell. As for the crystal system: cubic.

Cell and atoms, written as CIF:
```
data_CaGaH2
_chemical_formula_sum 'Ca4 Ga4 H8'
_space_group_name_H-M_alt 'F m -3 m'
_space_group_IT_number 225
_space_group_name_Hall '-F 4 2 3'
_cell_length_a 5.948
_cell_length_b 5.948
_cell_length_c 5.948
_cell_angle_alpha 90.00
_cell_angle_beta 90.00
_cell_angle_gamma 90.00
loop_
_atom_site_label
_atom_site_type_symbol
_atom_site_fract_x
_atom_site_fract_y
_atom_site_fract_z
_atom_site_occupancy
Ca1 Ca 0.000 0.000 0.000 1
Ga1 Ga 0.000 0.000 0.500 1
H1 H 0.250 0.250 0.250 1
```